# 1
The following is a PBE calculation of LiNb3Br after structural relaxation, from the Alexandria database.

- Distance to the lowest polymorph of the same formula: 0 meV per atom

Geometry as CIF:
```
data_LiNb3Br
_chemical_formula_sum 'Li1 Nb3 Br1'
_cell_length_a 4.797
_cell_length_b 4.797
_cell_length_c 4.797
_cell_angle_alpha 90.00
_cell_angle_beta 90.00
_cell_angle_gamma 90.00
_symmetry_space_group_name_H-M 'P m -3 m'
_symmetry_Int_Tables_number 221
_symmetry_space_group_name_Hall '-P 4 2 3'
loop_
_atom_site_label
_atom_site_fract_x
_atom_site_fract_y
_atom_site_fract_z
_atom_site_occupancy
Li1 0.000 0.000 0.000 1
Nb1 0.000 0.500 0.500 1
Br1 0.500 0.500 0.500 1
```

=====

# 2
The following is a PBE calculation of K2CdHg after structural relaxation, from the Alexandria database.

- Energy of formation from the pure elements: -0.1 eV per formula unit

Geometry as CIF:
```
data_K2CdHg
_chemical_formula_sum 'K6 Cd3 Hg3'
_cell_length_a 4.2569
_cell_length_b 4.2569
_cell_length_c 32.3534
_cell_angle_alpha 90.00
_cell_angle_beta 90.00
_cell_angle_gamma 120.00
_symmetry_space_group_name_H-M 'R -3 m'
_symmetry_Int_Tables_number 166
_symmetry_space_group_name_Hall '-R 3 2"'
loop_
_atom_site_label
_atom_site_fract_x
_atom_site_fract_y
_atom_site_fract_z
_atom_site_occupancy
K1 0.0000 0.0000 0.2474 1
Cd1 0.0000 0.0000 0.0000 1
Hg1 0.0000 0.0000 0.5000 1
```

=====

# 3
The following is a PBE calculation of ReAg2Pd after structural relaxation, from the Alexandria database.

- Distance to the lowest polymorph of the same formula: 0 meV per atom
- Energy of formation from the pure elements: 3.3 eV per formula unit

Geometry as CIF:
```
data_ReAg2Pd
_chemical_formula_sum 'Re4 Ag8 Pd4'
_cell_length_a 6.399
_cell_length_b 6.399
_cell_length_c 6.399
_cell_angle_alpha 90.00
_cell_angle_beta 90.00
_cell_angle_gamma 90.00
_symmetry_space_group_name_H-M 'F m -3 m'
_symmetry_Int_Tables_number 225
_symmetry_space_group_name_Hall '-F 4 2 3'
loop_
_atom_site_label
_atom_site_fract_x
_atom_site_fract_y
_atom_site_fract_z
_atom_site_occupancy
Re1 0.000 0.000 0.000 1
Ag1 0.250 0.250 0.250 1
Pd1 0.000 0.000 0.500 1
```

=====

# 4
The following is a PBE calculation of Cs2NpBe2Te4 after structural relaxation, from the Alexandria database.

- Electronic total energy: -79.6 eV per cell

Geometry as CIF:
```
data_Cs2NpBe2Te4
_chemical_formula_sum 'Cs4 Np2 Be4 Te8'
_cell_length_a 16.334
_cell_length_b 4.328
_cell_length_c 9.082
_cell_angle_alpha 90.00
_cell_angle_beta 108.42
_cell_angle_gamma 90.00
_symmetry_space_group_name_H-M 'C 1 2/m 1'
_symmetry_Int_Tables_number 12
_symmetry_space_group_name_Hall '-C 2y'
loop_
_atom_site_label
_atom_site_fract_x
_atom_site_fract_y
_atom_site_fract_z
_atom_site_occupancy
Cs1 0.134 0.000 0.043 1
Np1 0.000 0.000 0.500 1
Be1 0.168 0.500 0.476 1
Te1 0.028 0.500 0.269 1
Te2 0.206 0.000 0.638 1
```

=====

# 5
The following is a PBE calculation of Ti2BiIrC after structural relaxation, from the Alexandria database.

- Energy of formation from the pure elements: -0.9 eV per formula unit

Geometry as CIF:
```
data_Ti2BiIrC
_chemical_formula_sum 'Ti2 Bi1 Ir1 C1'
_cell_length_a 4.331
_cell_length_b 4.331
_cell_length_c 4.166
_cell_angle_alpha 90.00
_cell_angle_beta 90.00
_cell_angle_gamma 90.00
_symmetry_space_group_name_H-M 'P 4/m m m'
_symmetry_Int_Tables_number 123
_symmetry_space_group_name_Hall '-P 4 2'
loop_
_atom_site_label
_atom_site_fract_x
_atom_site_fract_y
_atom_site_fract_z
_atom_site_occupancy
Ti1 0.000 0.500 0.000 1
Bi1 0.000 0.000 0.500 1
Ir1 0.500 0.500 0.500 1
C1 0.500 0.500 0.000 1
```

=====

# 6
The following is a PBE calculation of TmNbRe after structural relaxation, from the Alexandria database.

- Distance to the lowest polymorph of the same formula: 0 meV per atom
- Energy of formation from the pure elements: 0.0 eV per formula unit

Geometry as CIF:
```
data_TmNbRe
_chemical_formula_sum 'Tm2 Nb2 Re2'
_cell_length_a 3.306
_cell_length_b 3.306
_cell_length_c 10.814
_cell_angle_alpha 90.00
_cell_angle_beta 90.00
_cell_angle_gamma 90.00
_symmetry_space_group_name_H-M 'I 4 m m'
_symmetry_Int_Tables_number 107
_symmetry_space_group_name_Hall 'I 4 -2'
loop_
_atom_site_label
_atom_site_fract_x
_atom_site_fract_y
_atom_site_fract_z
_atom_site_occupancy
Tm1 0.000 0.000 0.000 1
Nb1 0.000 0.000 0.300 1
Re1 0.000 0.000 0.677 1
```

=====

# 7
The following is a PBE calculation of ScTa2 after structural relaxation, from the Alexandria database.

- Distance to the lowest polymorph of the same formula: 67 meV per atom
- Energy of formation from the pure elements: 0.7 eV per formula unit

Geometry as CIF:
```
data_ScTa2
_chemical_formula_sum 'Sc4 Ta8'
_cell_length_a 11.455
_cell_length_b 2.866
_cell_length_c 7.383
_cell_angle_alpha 90.00
_cell_angle_beta 103.49
_cell_angle_gamma 90.00
_symmetry_space_group_name_H-M 'C 1 m 1'
_symmetry_Int_Tables_number 8
_symmetry_space_group_name_Hall 'C -2y'
loop_
_atom_site_label
_atom_site_fract_x
_atom_site_fract_y
_atom_site_fract_z
_atom_site_occupancy
Sc1 0.000 0.000 0.000 1
Sc2 0.174 0.500 0.344 1
Ta1 0.077 0.000 0.652 1
Ta2 0.246 0.500 0.979 1
Ta3 0.335 0.000 0.668 1
Ta4 0.410 0.000 0.324 1
```

=====

# 8
The following is a PBE calculation of Mn6IrPt5 after structural relaxation, from the Alexandria database.

- Energy of formation from the pure elements: -3.6 eV per formula unit

Geometry as CIF:
```
data_Mn6IrPt5
_chemical_formula_sum 'Mn12 Ir2 Pt10'
_cell_length_a 4.212
_cell_length_b 6.780
_cell_length_c 12.631
_cell_angle_alpha 90.00
_cell_angle_beta 90.00
_cell_angle_gamma 90.00
_symmetry_space_group_name_H-M 'I m m m'
_symmetry_Int_Tables_number 71
_symmetry_space_group_name_Hall '-I 2 2'
loop_
_atom_site_label
_atom_site_fract_x
_atom_site_fract_y
_atom_site_fract_z
_atom_site_occupancy
Mn1 0.000 0.246 0.000 1
Mn2 0.000 0.252 0.334 1
Ir1 0.000 0.500 0.500 1
Pt1 0.000 0.000 0.167 1
Pt2 0.000 0.000 0.500 1
Pt3 0.000 0.500 0.166 1
```

=====

# 9
The following is a PBE calculation of Li5Zr4 after structural relaxation, from the Alexandria database.

- Energy of formation from the pure elements: 1.7 eV per formula unit

Geometry as CIF:
```
data_Li5Zr4
_chemical_formula_sum 'Li10 Zr8'
_cell_length_a 11.127
_cell_length_b 11.127
_cell_length_c 3.152
_cell_angle_alpha 90.00
_cell_angle_beta 90.00
_cell_angle_gamma 90.00
_symmetry_space_group_name_H-M 'I 4/m m m'
_symmetry_Int_Tables_number 139
_symmetry_space_group_name_Hall '-I 4 2'
loop_
_atom_site_label
_atom_site_fract_x
_atom_site_fract_y
_atom_site_fract_z
_atom_site_occupancy
Li1 0.000 0.000 0.000 1
Li2 0.176 0.176 0.500 1
Zr1 0.000 0.340 0.000 1
```

=====

# 10
The following is a PBE calculation of Na5Ag5Hg after structural relaxation, from the Alexandria database.

- Energy of formation from the pure elements: -0.6 eV per formula unit

Geometry as CIF:
```
data_Na5Ag5Hg
_chemical_formula_sum 'Na5 Ag5 Hg1'
_cell_length_a 5.5913
_cell_length_b 5.5913
_cell_length_c 10.3320
_cell_angle_alpha 90.00
_cell_angle_beta 90.00
_cell_angle_gamma 120.00
_symmetry_space_group_name_H-M 'P -6 m 2'
_symmetry_Int_Tables_number 187
_symmetry_space_group_name_Hall 'P -6 2'
loop_
_atom_site_label
_atom_site_fract_x
_atom_site_fract_y
_atom_site_fract_z
_atom_site_occupancy
Na1 0.0000 0.0000 0.0000 1
Na2 0.3333 0.6667 0.3311 1
Na3 0.6667 0.3333 0.2077 1
Ag1 0.0000 0.0000 0.2754 1
Ag2 0.3382 0.1691 0.5000 1
Hg1 0.3333 0.6667 0.0000 1
```

=====

# 11
The following is a PBE calculation of Rb4U3CuS8 after structural relaxation, from the Alexandria database.

- Electronic total energy: -188.1 eV per cell

Geometry as CIF:
```
data_Rb4U3CuS8
_chemical_formula_sum 'Rb8 U6 Cu2 S16'
_cell_length_a 14.010
_cell_length_b 8.052
_cell_length_c 8.991
_cell_angle_alpha 90.00
_cell_angle_beta 121.27
_cell_angle_gamma 90.00
_symmetry_space_group_name_H-M 'C 1 2/m 1'
_symmetry_Int_Tables_number 12
_symmetry_space_group_name_Hall '-C 2y'
loop_
_atom_site_label
_atom_site_fract_x
_atom_site_fract_y
_atom_site_fract_z
_atom_site_occupancy
Rb1 0.000 0.000 0.000 1
Rb2 0.000 0.500 0.000 1
Rb3 0.250 0.250 0.000 1
U1 0.000 0.000 0.500 1
U2 0.250 0.250 0.500 1
Cu1 0.000 0.500 0.500 1
S1 0.022 0.249 0.313 1
S2 0.231 0.000 0.695 1
S3 0.233 0.500 0.690 1
```

=====

# 12
The following is a PBE calculation of Tb3CeTm6 after structural relaxation, from the Alexandria database.

- Energy of formation from the pure elements: 1.6 eV per formula unit

Geometry as CIF:
```
data_Tb3CeTm6
_chemical_formula_sum 'Tb12 Ce4 Tm24'
_cell_length_a 9.340
_cell_length_b 14.804
_cell_length_c 9.021
_cell_angle_alpha 90.00
_cell_angle_beta 90.00
_cell_angle_gamma 90.00
_symmetry_space_group_name_H-M 'C m c 21'
_symmetry_Int_Tables_number 36
_symmetry_space_group_name_Hall 'C 2c -2'
loop_
_atom_site_label
_atom_site_fract_x
_atom_site_fract_y
_atom_site_fract_z
_atom_site_occupancy
Tb1 0.000 0.037 0.000 1
Tb2 0.170 0.360 0.511 1
Ce1 0.000 0.261 0.051 1
Tm1 0.000 0.201 0.708 1
Tm2 0.000 0.440 0.861 1
Tm3 0.180 0.154 0.342 1
Tm4 0.216 0.431 0.172 1
```